Entry 1:
Here is a relaxed structure of Ce2SmTl from Alexandria. Energies are from PBE.

Computed properties:
The energy above the lowest structure with this stoichiometry is 0.0317 eV/atom. The uncorrected energy is -4.87 eV per atom. The value obtained for the formation energy from the elements is -0.1314 eV/atom. As for the magnetic moment: 2.00 Bohr magnetons per cell.

a b c (Å): 5.165 4.709 4.709
angles (deg): 90.00 90.00 90.00
Last column: magnetic moment on the atom in μB.
Fractional coordinates of all 4 atoms:
Tl 0.500 0.000 0.000  -0.02
Ce 0.000 0.000 0.500  0.75
Ce 0.000 0.500 0.000  0.75
Sm 0.500 0.500 0.500  0.07

Entry 2:
Here is a relaxed structure of Ce2Sm5Tl4 from Alexandria. Energies are from PBE.

Computed properties:
The uncorrected energy is -4.08 eV per atom. The value obtained for the formation energy from the elements is 0.0020 eV/atom. As for the magnetic moment: 2.83 Bohr magnetons per cell.

a b c (Å): 3.473 8.088 12.469
angles (deg): 85.49 98.01 90.00
Last column: magnetic moment on the atom in μB.
Fractional coordinates of all 11 atoms:
Sm 0.765 0.793 0.530  0.04
Sm 0.500 0.000 0.000  0.02
Sm 0.139 0.878 0.278  0.02
Sm 0.861 0.122 0.722  0.02
Sm 0.235 0.207 0.470  0.04
Tl 0.669 0.528 0.338  0.00
Tl 0.961 0.353 0.922  0.00
Tl 0.039 0.647 0.078  0.00
Tl 0.331 0.472 0.662  0.00
Ce 0.093 0.266 0.186  0.98
Ce 0.907 0.734 0.814  0.98

Entry 3:
Here is a relaxed structure of CeSm3Tl5 from Alexandria. Energies are from PBE.

Computed properties:
The uncorrected energy is -3.86 eV per atom. The value obtained for the formation energy from the elements is -0.3082 eV/atom. As for the magnetic moment: 1.65 Bohr magnetons per cell.

a b c (Å): 6.548 9.575 9.576
angles (deg): 120.00 90.00 90.00
Last column: magnetic moment on the atom in μB.
Fractional coordinates of all 18 atoms:
Tl 0.750 0.301 0.000  -0.01
Tl 0.250 0.699 0.000  -0.01
Tl 0.000 0.333 0.667  0.00
Tl 0.000 0.667 0.333  0.00
Tl 0.500 0.333 0.667  0.00
Tl 0.500 0.667 0.333  0.00
Tl 0.250 0.000 0.699  -0.01
Tl 0.750 0.699 0.699  -0.01
Tl 0.750 0.000 0.301  -0.01
Tl 0.250 0.301 0.301  -0.01
Sm 0.750 0.000 0.633  -0.01
Sm 0.250 0.367 0.000  -0.01
Sm 0.750 0.633 0.000  -0.01
Sm 0.250 0.633 0.633  -0.01
Sm 0.750 0.367 0.367  -0.01
Sm 0.250 0.000 0.367  -0.01
Ce 0.500 0.000 0.000  0.72
Ce 0.000 0.000 0.000  0.72

Entry 4:
Here is a relaxed structure of CeSm4Tl4 from Alexandria. Energies are from PBE.

Computed properties:
The uncorrected energy is -3.96 eV per atom. The value obtained for the formation energy from the elements is -0.1541 eV/atom. As for the magnetic moment: 1.93 Bohr magnetons per cell.

a b c (Å): 6.271 9.242 9.242
angles (deg): 90.00 90.00 90.00
Last column: magnetic moment on the atom in μB.
Fractional coordinates of all 18 atoms:
Tl 0.891 0.398 0.711  -0.01
Tl 0.891 0.602 0.289  -0.01
Tl 0.109 0.289 0.398  -0.01
Tl 0.391 0.789 0.898  -0.01
Tl 0.609 0.102 0.789  -0.01
Tl 0.609 0.898 0.211  -0.01
Tl 0.109 0.711 0.602  -0.01
Tl 0.391 0.211 0.102  -0.01
Sm 0.122 0.071 0.672  0.02
Sm 0.878 0.328 0.071  0.02
Sm 0.622 0.172 0.429  0.02
Sm 0.378 0.429 0.828  0.02
Sm 0.122 0.929 0.328  0.02
Sm 0.878 0.672 0.929  0.02
Sm 0.622 0.828 0.571  0.02
Sm 0.378 0.571 0.172  0.02
Ce 0.500 0.500 0.500  0.77
Ce 0.000 0.000 0.000  0.77

Entry 5:
Here is a relaxed structure of CeSm6Tl6 from Alexandria. Energies are from PBE.

Computed properties:
The uncorrected energy is -3.93 eV per atom. The value obtained for the formation energy from the elements is -0.2000 eV/atom. As for the magnetic moment: 1.66 Bohr magnetons per cell.

a b c (Å): 6.464 6.464 10.886
angles (deg): 90.00 90.00 119.99
Last column: magnetic moment on the atom in μB.
Fractional coordinates of all 13 atoms:
Tl 0.500 0.500 0.754  0.00
Tl 0.000 0.500 0.246  0.00
Tl 0.500 0.000 0.246  0.00
Tl 0.500 0.000 0.754  0.00
Tl 0.000 0.500 0.754  0.00
Tl 0.500 0.500 0.246  0.00
Sm 0.000 0.000 0.335  0.20
Sm 0.667 0.333 0.000  0.02
Sm 0.333 0.667 0.500  0.12
Sm 0.000 0.000 0.665  0.20
Sm 0.667 0.333 0.500  0.12
Sm 0.333 0.667 0.000  0.02
Ce 0.000 0.000 0.000  -0.07

Entry 6:
Here is a relaxed structure of CeSm3Tl2 from Alexandria. Energies are from PBE.

Computed properties:
The uncorrected energy is -4.34 eV per atom. The value obtained for the formation energy from the elements is -0.2074 eV/atom. As for the magnetic moment: 0.56 Bohr magnetons per cell.

a b c (Å): 5.503 7.395 9.791
angles (deg): 112.19 106.39 89.99
Last column: magnetic moment on the atom in μB.
Fractional coordinates of all 12 atoms:
Tl 0.344 0.344 0.689  0.00
Tl 0.656 0.156 0.311  0.00
Tl 0.656 0.656 0.311  0.00
Tl 0.344 0.844 0.689  0.00
Sm 0.825 0.075 0.650  0.01
Sm 0.175 0.925 0.350  0.01
Sm 0.500 0.750 0.000  0.01
Sm 0.500 0.250 0.000  0.01
Sm 0.175 0.425 0.350  0.01
Sm 0.825 0.575 0.650  0.01
Ce 0.000 0.500 0.000  0.18
Ce 0.000 0.000 0.000  0.18

Q: What is the formula in the first record?
A: Ce2SmTl

Q: magnetic moment of number 4 (CeSm4Tl4)?
A: 1.93 Bohr magnetons per cell